CaPm2Pd: optimized geometry, PBE-GGA.

Properties
Density: 6.0 g/cm3
Energy above the lowest structure with this stoichiometry: 8 kJ/mol of formula units
Energy relative to the elements: -0.378 eV/atom
VASP energy: -72.835 eV per cell

Cell lengths 4.045, 12.411, 9.612 Å; angles 90.00, 90.00, 90.00 degrees
Element x y z (fractional)
Ca  0.000  0.069  0.250
Ca  0.000  0.931  0.750
Ca  0.500  0.431  0.750
Ca  0.500  0.569  0.250
Pm  0.000  0.358  0.059
Pm  0.000  0.358  0.441
Pm  0.000  0.642  0.559
Pm  0.000  0.642  0.941
Pm  0.500  0.142  0.559
Pm  0.500  0.142  0.941
Pm  0.500  0.858  0.059
Pm  0.500  0.858  0.441
Pd  0.000  0.232  0.750
Pd  0.000  0.768  0.250
Pd  0.500  0.268  0.250
Pd  0.500  0.732  0.750